The following is a GGA-PBE calculation of a geometry-optimized NaPmNpO6 structure, from the Alexandria database.

Output
Fermi-level density of states	1.103	states/eV per atom
DFT total energy	-141.3	eV/cell
uncorrected formation energy	-2.431	eV per atom
magnetic moment	2.0	Bohr magnetons per cell

abc: 5.6732 5.6732 9.8369
angles: 90.00 90.00 120.00
Closest atoms and distances in Å follow each position.
Space group P-31c (No. 163)
Unique sites:
Na 0.3333 0.6667 0.2500 x2  6 O 2.37
Pm 0.0000 0.0000 0.0000 x2  6 O 2.37
Np 0.3333 0.6667 0.7500 x2  6 O 2.00
O 0.0503 0.3699 0.6343 x12  1 Np 2.00

***

The following is a GGA-PBE calculation of a geometry-optimized Na2PrNpO6 structure, from the Alexandria database.

Output
DFT total energy	-151.6	eV/cell
uncorrected formation energy	-2.569	eV per atom
magnetic moment	0.0	Bohr magnetons per cell

abc: 5.8530 6.0322 10.2594
angles: 90.00 124.77 90.00
Closest atoms and distances in Å follow each position.
Space group P2_1/c (No. 14)
Unique sites:
Na 0.2490 0.0383 0.2542 x4  4 O 2.40-2.58
Pr 0.5000 0.0000 0.0000 x2  6 O 2.37-2.41
Np 0.0000 0.0000 0.5000 x2  6 O 2.02-2.04
O 0.1054 0.2178 0.9379 x4  1 Np 2.03
O 0.2366 0.6737 0.9501 x4  1 Np 2.02
O 0.3333 0.0493 0.7281 x4  1 Np 2.04

***

The following is a GGA-PBE calculation of a geometry-optimized Na2Pr2NpO6 structure, from the Alexandria database.

Output
Fermi-level density of states	0.751	states/eV per atom
DFT total energy	-168.0	eV/cell
uncorrected formation energy	-2.645	eV per atom
magnetic moment	6.0	Bohr magnetons per cell

abc: 6.2388 10.8309 5.9359
angles: 90.00 107.16 90.00
Closest atoms and distances in Å follow each position.
Space group C2/m (No. 12)
Unique sites:
Na 0.0000 0.1562 0.0000 x4  4 O 2.49-2.58
Pr 0.0000 0.3347 0.5000 x4  6 O 2.36-2.48
Np 0.0000 0.0000 0.5000 x2  6 O 2.16-2.31
O 0.2073 0.1642 0.6998 x8  1 Np 2.31, 2 Pr 2.36-2.45, 1 Na 2.49
O 0.2377 0.0000 0.2984 x4  1 Np 2.16

***

The following is a GGA-PBE calculation of a geometry-optimized NaPr2NpO8 structure, from the Alexandria database.

Output
DFT total energy	-93.1	eV/cell
uncorrected formation energy	-2.466	eV per atom
magnetic moment	0.0	Bohr magnetons per cell

abc: 4.3451 7.6355 5.1186
angles: 90.00 94.61 90.00
Closest atoms and distances in Å follow each position.
Space group P2/m (No. 10)
Unique sites:
Na 0.0000 0.0000 0.0000 x1  4 O 2.24-2.37
Pr 0.5000 0.2566 0.5000 x2  4 O 2.32-2.51
Np 0.0000 0.5000 0.0000 x1  6 O 2.01-2.17
O 0.0361 0.2969 0.7552 x4  1 Np 2.01
O 0.4417 0.5000 0.2305 x2  1 Np 2.17, 2 Pr 2.32
O 0.4991 0.0000 0.1500 x2  1 O 1.54

***

The highest magnetic moment belongs to which entry?
Na2Pr2NpO6

***

Which value of magnetic moment does entry 1 give?
2.0 Bohr magnetons per cell